1.
Density functional theory data (GGA-PBE) for an optimized crystal structure of TlPSe2.

Cell: 8.167 8.167 8.167 Å, 152.98 152.98 38.59°
Element x y z (fractional)
1 Tl 0.500 0.500 0.000
2 P 0.750 0.250 0.500
3 Se 0.250 0.750 0.500
4 Se 0.000 0.000 0.000

Properties
For the density, the calculation gives 5.82 Mg/m³. Its total magnetization is 0.00 μB/f.u.



2.
Density functional theory data (GGA-PBE) for an optimized crystal structure of TlPSe4.

Cell: 6.445 6.432 8.635 Å, 110.70 111.88 90.00°
Element x y z (fractional)
1 Se 0.657 0.434 0.588
2 Se 0.372 0.902 0.172
3 P 0.000 0.500 0.500
4 Tl 0.260 0.250 0.000
5 Se 0.930 0.934 0.588
6 Se 0.343 0.566 0.412
7 Se 0.802 0.402 0.172
8 Se 0.628 0.098 0.828
9 P 0.500 0.000 0.500
10 Se 0.198 0.598 0.828
11 Tl 0.740 0.750 0.000
12 Se 0.070 0.066 0.412

Properties
For the density, the calculation gives 5.96 Mg/m³. The energy relative to the lowest polymorph listed for this composition comes out at 9.7 kJ per mole of atoms. Its total magnetization is 0.00 μB/f.u.



3.
Density functional theory data (GGA-PBE) for an optimized crystal structure of TlP2Se4.

Cell: 6.492 6.492 6.492 Å, 102.62 102.62 124.27°
Element x y z (fractional)
1 Se 0.311 0.133 0.444
2 P 0.250 0.750 0.500
3 Se 0.689 0.867 0.556
4 P 0.750 0.250 0.500
5 Tl 0.500 0.500 0.000
6 Se 0.133 0.689 0.823
7 Se 0.867 0.311 0.177

Properties
For the density, the calculation gives 4.84 Mg/m³. Its total magnetization is 0.00 μB/f.u.



4.
Density functional theory data (GGA-PBE) for an optimized crystal structure of Tl2PSe3.

Cell: 9.195 7.213 6.799 Å, 64.42 67.15 69.00°
Element x y z (fractional)
1 Se 0.277 0.108 0.263
2 Tl 0.893 0.319 0.378
3 Tl 0.676 0.963 0.230
4 Se 0.469 0.445 0.316
5 Se 0.531 0.555 0.684
6 Se 0.723 0.892 0.737
7 P 0.319 0.434 0.131
8 Tl 0.324 0.037 0.770
9 Se 0.912 0.315 0.858
10 Tl 0.107 0.681 0.622
11 P 0.681 0.566 0.869
12 Se 0.088 0.685 0.142

Properties
For the density, the calculation gives 6.16 Mg/m³. The energy relative to the lowest polymorph listed for this composition comes out at 8.0 kJ per mole of atoms. Its total magnetization is 0.00 μB/f.u.



5.
Density functional theory data (GGA-PBE) for an optimized crystal structure of TlPSe4.

Cell: 5.794 5.794 5.794 Å, 60.00 60.00 60.00°
Element x y z (fractional)
1 P 0.000 0.000 0.000
2 Se 0.373 0.373 0.882
3 Tl 0.750 0.750 0.750
4 Se 0.882 0.373 0.373
5 Se 0.373 0.373 0.373
6 Se 0.373 0.882 0.373

Properties
For the density, the calculation gives 6.65 Mg/m³. The energy relative to the lowest polymorph listed for this composition comes out at 68.3 kJ per mole of atoms. Its total magnetization is 0.00 μB/f.u.



6.
Density functional theory data (GGA-PBE) for an optimized crystal structure of TlP2Se6.

Cell: 5.962 10.123 10.123 Å, 87.33 72.08 72.08°
Element x y z (fractional)
1 Se 0.857 0.182 0.003
2 Se 0.474 0.736 0.623
3 P 0.242 0.169 0.338
4 Se 0.067 0.117 0.552
5 Se 0.933 0.883 0.448
6 Tl 0.750 0.747 0.253
7 Tl 0.250 0.253 0.747
8 Se 0.643 0.997 0.818
9 Se 0.974 0.623 0.736
10 Se 0.143 0.818 0.997
11 Se 0.026 0.377 0.264
12 P 0.258 0.662 0.831
13 Se 0.357 0.003 0.182
14 Se 0.526 0.264 0.377
15 P 0.758 0.831 0.662
16 Se 0.433 0.448 0.883
17 P 0.742 0.338 0.169
18 Se 0.567 0.552 0.117

Properties
For the density, the calculation gives 4.45 Mg/m³. Its total magnetization is 0.00 μB/f.u.



7.
Density functional theory data (GGA-PBE) for an optimized crystal structure of TlPSe2.

Cell: 3.429 4.426 7.305 Å, 89.89 90.00 90.00°
Element x y z (fractional)
1 Tl 0.500 0.000 0.500
2 P 0.500 0.500 0.000
3 Se 0.000 0.499 0.764
4 Se 0.000 0.501 0.236

Properties
For the density, the calculation gives 5.89 Mg/m³. Its total magnetization is 0.00 μB/f.u.



8.
Density functional theory data (GGA-PBE) for an optimized crystal structure of Tl7PSe6.

Cell: 7.877 11.734 11.734 Å, 73.30 70.39 70.39°
Element x y z (fractional)
1 Tl 0.650 0.924 0.313
2 Tl 0.230 0.990 0.010
3 Tl 0.730 0.510 0.490
4 P 0.750 0.250 0.250
5 P 0.250 0.750 0.750
6 Tl 0.387 0.576 0.187
7 Tl 0.270 0.490 0.510
8 Tl 0.887 0.687 0.076
9 Tl 0.150 0.813 0.424
10 Se 0.510 0.235 0.418
11 Se 0.049 0.324 0.676
12 Tl 0.750 0.750 0.750
13 Tl 0.250 0.250 0.250
14 Tl 0.770 0.010 0.990
15 Tl 0.113 0.313 0.924
16 Se 0.451 0.824 0.176
17 Tl 0.350 0.076 0.687
18 Se 0.837 0.418 0.235
19 Se 0.951 0.676 0.324
20 Se 0.990 0.082 0.265
21 Se 0.010 0.918 0.735
22 Tl 0.613 0.424 0.813
23 Tl 0.850 0.187 0.576
24 Se 0.663 0.265 0.082
25 Se 0.163 0.582 0.765
26 Se 0.549 0.176 0.824
27 Se 0.490 0.765 0.582
28 Se 0.337 0.735 0.918

Properties
For the density, the calculation gives 6.81 Mg/m³. Its total magnetization is 0.00 μB/f.u.



For each record above, in turn, the calculated energy relative to the elements, uncorrected values are 0.34; 0.06; 0.02; -0.24; 0.67; -0.04; 0.02; -0.31 eV per atom.